{
  "formula": "HfMnAs2Se",
  "functional": "PBE",
  "state": "optimized geometry",
  "lattice": [[5.1641, 0.0000, 0.0000], [0.0000, 5.1641, 0.0000], [0.0000, 0.0000, 5.0912]],
  "species": ["As", "As", "Mn", "Hf", "Se"],
  "fractional_positions": [[0.0000, 0.5000, 0.0000], [0.5000, 0.0000, 0.0000], [0.5000, 0.5000, 0.5000], [0.0000, 0.0000, 0.0000], [0.0000, 0.0000, 0.5000]],
  "e_tot_ry_per_atom": -0.4478,
  "space_group": "No. 123",
  "raw_formation_energy_kj_per_mol_atoms": 27.8
}